This record from the Alexandria database describes crystalline CePmIrI at its relaxed geometry. The functional is PBE.

Values from the calculation:
Density of states at the Fermi level (states/eV per atom): 1.767
Raw formation energy (eV per atom): -0.9344
Space group: R3m, No. 160
Total magnetic moment (μB/atom): 0.1903
E (eV/f.u.): -24.83

abc: 4.159 4.159 24.401
angles: 90.00 90.00 120.00
Fractional positions:
Ce (0.000, 0.000, 0.000)
Ce (0.333, 0.667, 0.667)
Ce (0.667, 0.333, 0.333)
Pm (0.000, 0.000, 0.211)
Pm (0.333, 0.667, 0.878)
Pm (0.667, 0.333, 0.544)
Ir (0.000, 0.000, 0.609)
Ir (0.333, 0.667, 0.276)
Ir (0.667, 0.333, 0.942)
I (0.000, 0.000, 0.438)
I (0.333, 0.667, 0.105)
I (0.667, 0.333, 0.772)



This record from the Alexandria database describes crystalline Tb4Nd2SmSc at its relaxed geometry. The functional is PBE.

Values from the calculation:
Density of states at the Fermi level (states/eV per atom): 1.440
Space group: P4/mmm, No. 123
Calculated formation energy (eV per atom): 0.03
Total magnetic moment (μB/atom): 0.0000
E (eV/f.u.): -38.85

abc: 5.041 5.041 10.067
angles: 90.00 90.00 90.00
Fractional positions:
Tb (0.000, 0.500, 0.244)
Tb (0.000, 0.500, 0.756)
Tb (0.500, 0.000, 0.244)
Tb (0.500, 0.000, 0.756)
Nd (0.000, 0.000, 0.000)
Nd (0.500, 0.500, 0.500)
Sm (0.000, 0.000, 0.500)
Sc (0.500, 0.500, 0.000)



This record from the Alexandria database describes crystalline Bi4Pb5Au4 at its relaxed geometry. The functional is PBE.

Values from the calculation:
Density of states at the Fermi level (states/eV per atom): 0.365
Space group: I4/m, No. 87
Calculated formation energy (eV per atom): -0.02
Total magnetic moment (μB/atom): 0.0000
E (eV/f.u.): -47.44

abc: 9.111 9.111 9.111
angles: 93.74 93.74 150.39
Fractional positions:
Bi (0.101, 0.389, 0.491)
Bi (0.389, 0.899, 0.288)
Bi (0.611, 0.101, 0.712)
Bi (0.899, 0.611, 0.509)
Pb (0.122, 0.809, 0.931)
Pb (0.191, 0.122, 0.313)
Pb (0.500, 0.500, 0.000)
Pb (0.809, 0.878, 0.687)
Pb (0.878, 0.191, 0.069)
Au (0.263, 0.579, 0.843)
Au (0.421, 0.263, 0.684)
Au (0.579, 0.737, 0.316)
Au (0.737, 0.421, 0.157)



This record from the Alexandria database describes crystalline TiPd3 at its relaxed geometry. The functional is PBE.

Values from the calculation:
Density of states at the Fermi level (states/eV per atom): 0.207
Space group: P6_3/mmc, No. 194
Calculated formation energy (eV per atom): -0.64
Total magnetic moment (μB/atom): 0.0000
E (eV/f.u.): -26.03

abc: 5.554 5.554 9.070
angles: 90.00 90.00 120.00
Fractional positions:
Ti (0.000, 0.000, 0.000)
Ti (0.000, 0.000, 0.500)
Ti (0.333, 0.667, 0.250)
Ti (0.667, 0.333, 0.750)
Pd (0.000, 0.500, 0.000)
Pd (0.000, 0.500, 0.500)
Pd (0.166, 0.332, 0.750)
Pd (0.166, 0.834, 0.750)
Pd (0.332, 0.166, 0.250)
Pd (0.500, 0.000, 0.000)
Pd (0.500, 0.000, 0.500)
Pd (0.500, 0.500, 0.000)
Pd (0.500, 0.500, 0.500)
Pd (0.668, 0.834, 0.750)
Pd (0.834, 0.166, 0.250)
Pd (0.834, 0.668, 0.250)



This record from the Alexandria database describes crystalline Pm2DyCd2Hg2 at its relaxed geometry. The functional is PBE.

Values from the calculation:
Density of states at the Fermi level (states/eV per atom): 0.814
Space group: R-3m, No. 166
Calculated formation energy (eV per atom): -0.25
Total magnetic moment (μB/atom): 0.0000
E (eV/f.u.): -18.32

abc: 9.417 9.417 9.417
angles: 30.47 30.47 30.47
Fractional positions:
Pm (0.125, 0.125, 0.125)
Pm (0.875, 0.875, 0.875)
Dy (0.000, 0.000, 0.000)
Cd (0.262, 0.262, 0.262)
Cd (0.738, 0.738, 0.738)
Hg (0.394, 0.394, 0.394)
Hg (0.606, 0.606, 0.606)



This record from the Alexandria database describes crystalline NdTm2Te3 at its relaxed geometry. The functional is PBE.

Values from the calculation:
Density of states at the Fermi level (states/eV per atom): 0.546
Raw formation energy (eV per atom): -1.2532
Space group: Immm, No. 71
Total magnetic moment (μB/atom): 0.0000
E (eV/f.u.): -30.65

abc: 4.357 6.159 13.194
angles: 90.00 90.00 90.00
Fractional positions:
Nd (0.000, 0.000, 0.000)
Nd (0.500, 0.500, 0.500)
Tm (0.000, 0.000, 0.343)
Tm (0.000, 0.000, 0.657)
Tm (0.500, 0.500, 0.157)
Tm (0.500, 0.500, 0.843)
Te (0.000, 0.500, 0.000)
Te (0.000, 0.500, 0.322)
Te (0.000, 0.500, 0.678)
Te (0.500, 0.000, 0.178)
Te (0.500, 0.000, 0.500)
Te (0.500, 0.000, 0.822)



This record from the Alexandria database describes crystalline NaBi2Au at its relaxed geometry. The functional is PBE.

Values from the calculation:
Density of states at the Fermi level (states/eV per atom): 0.556
Space group: Fm-3m, No. 225
Calculated formation energy (eV per atom): -0.05
Total magnetic moment (μB/atom): 0.0000
E (eV/f.u.): -12.58

abc: 7.450 7.450 7.450
angles: 90.00 90.00 90.00
Fractional positions:
Na (0.000, 0.000, 0.000)
Na (0.000, 0.500, 0.500)
Na (0.500, 0.000, 0.500)
Na (0.500, 0.500, 0.000)
Bi (0.250, 0.250, 0.250)
Bi (0.250, 0.250, 0.750)
Bi (0.250, 0.750, 0.250)
Bi (0.250, 0.750, 0.750)
Bi (0.750, 0.250, 0.250)
Bi (0.750, 0.250, 0.750)
Bi (0.750, 0.750, 0.250)
Bi (0.750, 0.750, 0.750)
Au (0.000, 0.000, 0.500)
Au (0.000, 0.500, 0.000)
Au (0.500, 0.000, 0.000)
Au (0.500, 0.500, 0.500)



This record from the Alexandria database describes crystalline HoMg7 at its relaxed geometry. The functional is PBE.

Values from the calculation:
Density of states at the Fermi level (states/eV per atom): 0.485
Space group: I4/mmm, No. 139
Calculated formation energy (eV per atom): -0.04
Total magnetic moment (μB/atom): 0.0000
E (eV/f.u.): -16.03

abc: 4.580 4.580 18.357
angles: 90.00 90.00 90.00
Fractional positions:
Ho (0.000, 0.000, 0.000)
Ho (0.500, 0.500, 0.500)
Mg (0.000, 0.000, 0.245)
Mg (0.000, 0.000, 0.500)
Mg (0.000, 0.000, 0.755)
Mg (0.000, 0.500, 0.128)
Mg (0.000, 0.500, 0.372)
Mg (0.000, 0.500, 0.628)
Mg (0.000, 0.500, 0.872)
Mg (0.500, 0.000, 0.128)
Mg (0.500, 0.000, 0.372)
Mg (0.500, 0.000, 0.628)
Mg (0.500, 0.000, 0.872)
Mg (0.500, 0.500, 0.000)
Mg (0.500, 0.500, 0.255)
Mg (0.500, 0.500, 0.745)